The following is a PBE calculation of crystalline RbSnBi2 at its relaxed geometry, from Alexandria.

- ΔH_f (0 K): -0.1869 eV/atom
- Symmetry: No. 15
- Density of states at the Fermi level: 0.413 states/eV per atom

```
RbSnBi2
1.0
3.605 -6.911 0.000
3.605 6.911 0.000
-3.127 0.000 6.395
Rb Sn Bi
2 2 4
direct
0.122 0.878 0.750 Rb
0.878 0.122 0.250 Rb
0.253 0.747 0.250 Sn
0.747 0.253 0.750 Sn
0.265 0.475 0.875 Bi
0.475 0.265 0.375 Bi
0.525 0.735 0.625 Bi
0.735 0.525 0.125 Bi
```